Entry 1:
Material: NbCrReCl2
Method: DFT, GGA-PBE
State: optimized geometry

Cell and atoms, written as extended XYZ:
```
5
Lattice="-1.048 0.922 -4.121 -0.262 -5.556 -1.177 -4.218 -0.027 1.067" Properties=species:S:1:pos:R:3 pbc="T T T"
Re -2.764 -2.330 -2.115
Nb -0.131 -2.778 -0.588
Cl -2.109 -0.013 0.533
Cl -0.524 0.461 -2.060
Cr 0.000 0.000 0.000
```

## Properties
spin magnetization = 0.846 μB per atom
N(E_F) = 0.524 states/eV per atom
total energy = -5.98 eV/atom
formation energy from raw total energies = 115 kJ per mole of atoms
space-group type = P4/mmm, No. 123

Entry 2:
Material: NbCrS2Cl
Method: DFT, GGA-PBE
State: optimized geometry

Cell and atoms, written as extended XYZ:
```
5
Lattice="-3.062 -1.010 3.603 1.588 -4.566 0.069 3.390 1.228 3.225" Properties=species:S:1:pos:R:3 pbc="T T T"
Cr 0.958 -2.174 3.448
Nb 0.000 0.000 0.000
S 0.794 -2.283 0.035
S -1.531 -0.505 1.801
Cl 1.695 0.614 1.612
```

## Properties
spin magnetization = 0.972 μB per atom
N(E_F) = 0.771 states/eV per atom
total energy = -6.09 eV/atom
formation energy from raw total energies = -13 kJ per mole of atoms
space-group type = P4/mmm, No. 123

Entry 3:
Material: NbCrS2Cl
Method: DFT, GGA-PBE
State: optimized geometry

Cell and atoms, written as extended XYZ:
```
5
Lattice="4.686 0.000 0.000 0.000 4.686 0.000 0.000 0.000 4.493" Properties=species:S:1:pos:R:3 pbc="T T T"
Cr 0.000 0.000 0.000
Nb 2.343 2.343 2.247
S 0.000 2.343 0.000
S 2.343 0.000 0.000
Cl 0.000 0.000 2.247
```

## Properties
spin magnetization = 1.196 μB per atom
N(E_F) = 0.992 states/eV per atom
total energy = -5.78 eV/atom
formation energy from raw total energies = 17 kJ per mole of atoms
space-group type = P4/mmm, No. 123

Entry 4:
Material: Nb2CrSbCl
Method: DFT, GGA-PBE
State: optimized geometry

Cell and atoms, written as extended XYZ:
```
5
Lattice="5.204 0.000 0.000 0.000 4.733 0.000 0.000 0.000 5.204" Properties=species:S:1:pos:R:3 pbc="T T T"
Sb 0.000 0.000 0.000
Nb 0.000 0.000 2.602
Nb 2.602 0.000 0.000
Cl 2.602 2.366 2.602
Cr 0.000 2.366 0.000
```

## Properties
spin magnetization = 0.157 μB per atom
N(E_F) = 1.957 states/eV per atom
total energy = -5.40 eV/atom
formation energy from raw total energies = 169 kJ per mole of atoms
space-group type = P4/mmm, No. 123

Entry 5:
Material: NbCrSiCl2
Method: DFT, GGA-PBE
State: optimized geometry

Cell and atoms, written as extended XYZ:
```
5
Lattice="-3.801 -1.864 1.985 -0.553 -3.079 -3.950 2.674 -3.197 2.118" Properties=species:S:1:pos:R:3 pbc="T T T"
Cr -0.276 -1.539 -1.975
Nb -0.840 -4.070 0.077
Si 0.000 0.000 0.000
Cl 1.337 -1.599 1.059
Cl -1.900 -0.932 0.993
```

## Properties
spin magnetization = 0.970 μB per atom
N(E_F) = 1.230 states/eV per atom
total energy = -4.61 eV/atom
formation energy from raw total energies = 111 kJ per mole of atoms
space-group type = P4/mmm, No. 123

Entry 6:
Material: YNb2CrCl
Method: DFT, GGA-PBE
State: optimized geometry

Cell and atoms, written as extended XYZ:
```
5
Lattice="4.605 0.000 0.000 0.000 5.052 0.000 0.000 0.000 4.605" Properties=species:S:1:pos:R:3 pbc="T T T"
Y 0.000 2.526 0.000
Cr 2.303 2.526 2.303
Nb 0.000 0.000 2.303
Nb 2.303 0.000 0.000
Cl 0.000 0.000 0.000
```

## Properties
spin magnetization = 0.484 μB per atom
N(E_F) = 1.154 states/eV per atom
total energy = -7.05 eV/atom
formation energy from raw total energies = 54 kJ per mole of atoms
space-group type = P4/mmm, No. 123

Entry 7:
Material: ZrNbCr2Cl
Method: DFT, GGA-PBE
State: optimized geometry

Cell and atoms, written as extended XYZ:
```
5
Lattice="-2.433 2.048 -2.807 -3.517 -0.010 3.041 1.333 3.715 1.555" Properties=species:S:1:pos:R:3 pbc="T T T"
Cr 0.667 1.857 0.777
Cr -1.217 1.024 -1.404
Nb -1.759 -0.005 1.521
Zr -2.309 2.876 0.894
Cl 0.000 0.000 0.000
```

## Properties
spin magnetization = 0.481 μB per atom
N(E_F) = 1.046 states/eV per atom
total energy = -7.39 eV/atom
formation energy from raw total energies = 53 kJ per mole of atoms
space-group type = P4/mmm, No. 123

Entry 8:
Material: Cr2NiCl2
Method: DFT, GGA-PBE
State: optimized geometry

Cell and atoms, written as extended XYZ:
```
10
Lattice="-5.687 -3.793 0.684 3.826 -5.703 0.186 0.185 0.213 2.723" Properties=species:S:1:pos:R:3 pbc="T T T"
Ni 0.000 0.000 0.000
Ni -0.931 -4.748 0.435
Cl 1.243 -6.267 0.406
Cl -2.440 -6.912 0.707
Cl -3.105 -3.228 0.464
Cl 0.578 -2.584 0.163
Cr 1.691 -4.352 1.602
Cr -0.535 -7.170 1.974
Cr -3.366 -4.930 1.991
Cr -1.141 -2.113 1.619
```

## Properties
spin magnetization = 0.000 μB per atom
N(E_F) = 1.851 states/eV per atom
total energy = -4.94 eV/atom
formation energy from raw total energies = 78 kJ per mole of atoms
space-group type = P4/mbm, No. 127

Entry 9:
Material: Cr2NiCl
Method: DFT, GGA-PBE
State: optimized geometry

Cell and atoms, written as extended XYZ:
```
4
Lattice="5.099 -0.061 -0.061 2.472 4.460 0.061 -3.257 -3.109 2.394" Properties=species:S:1:pos:R:3 pbc="T T T"
Ni 3.703 2.151 0.000
Cl 1.439 1.739 1.228
Cr 0.080 0.047 0.000
Cr 2.877 -0.448 1.166
```

## Properties
spin magnetization = 0.010 μB per atom
N(E_F) = 0.759 states/eV per atom
total energy = -6.27 eV/atom
formation energy from raw total energies = 43 kJ per mole of atoms
space-group type = Imm2, No. 44

Entry 10:
Material: Cr2NiCl
Method: DFT, GGA-PBE
State: optimized geometry

Cell and atoms, written as extended XYZ:
```
4
Lattice="5.667 0.560 0.000 3.026 4.824 0.000 -4.346 -2.692 2.508" Properties=species:S:1:pos:R:3 pbc="T T T"
Ni 4.346 2.692 0.000
Cl 2.833 0.280 1.254
Cr 0.000 0.000 0.000
Cr 1.513 2.412 1.254
```

## Properties
spin magnetization = 2.071 μB per atom
N(E_F) = 1.563 states/eV per atom
total energy = -5.98 eV/atom
formation energy from raw total energies = 72 kJ per mole of atoms
space-group type = I-4m2, No. 119

Entry 11:
Material: Cr2NiCl
Method: DFT, GGA-PBE
State: optimized geometry

Cell and atoms, written as extended XYZ:
```
4
Lattice="2.941 0.000 0.000 0.000 3.018 0.428 0.000 2.072 7.009" Properties=species:S:1:pos:R:3 pbc="T T T"
Ni 0.000 2.217 3.356
Cl 1.470 1.927 5.293
Cr 0.000 2.597 0.688
Cr 1.470 0.894 1.818
```

## Properties
spin magnetization = 0.069 μB per atom
N(E_F) = 1.220 states/eV per atom
total energy = -6.53 eV/atom
formation energy from raw total energies = 18 kJ per mole of atoms
space-group type = Pm, No. 6

Entry 12:
Material: Cr2NiCl
Method: DFT, GGA-PBE
State: optimized geometry

Cell and atoms, written as extended XYZ:
```
4
Lattice="2.851 0.000 0.000 0.000 4.796 0.000 0.000 0.000 4.103" Properties=species:S:1:pos:R:3 pbc="T T T"
Ni 1.426 0.000 2.051
Cl 0.000 2.398 2.051
Cr 0.000 0.000 0.000
Cr 1.426 2.398 0.000
```

## Properties
spin magnetization = 1.520 μB per atom
N(E_F) = 1.626 states/eV per atom
total energy = -5.93 eV/atom
formation energy from raw total energies = 76 kJ per mole of atoms
space-group type = Pmmm, No. 47